i:
Compound: RbSr3W
Source: Alexandria
Functional: PBE-GGA
Structure: relaxed

Summary:
SG: Pm-3m

Unit cell a=6.1306 b=6.1306 c=6.1306 alpha=90.00 beta=90.00 gamma=90.00
Atoms (fractional coordinates):
Sr 0.0000 0.5000 0.0000
Sr 0.0000 0.0000 0.5000
Sr 0.5000 0.0000 0.0000
W 0.0000 0.0000 0.0000
Rb 0.5000 0.5000 0.5000

ii:
Compound: RbSr3W
Source: Alexandria
Functional: PBE-GGA
Structure: relaxed

Summary:
SG: Pm-3m

Unit cell a=5.8829 b=5.8829 c=5.8829 alpha=90.00 beta=90.00 gamma=90.00
Atoms (fractional coordinates):
Sr 0.5000 0.0000 0.0000
Sr 0.0000 0.5000 0.0000
Sr 0.0000 0.0000 0.5000
W 0.5000 0.5000 0.5000
Rb 0.0000 0.0000 0.0000

Relative to the most stable structure, the computed energies are i 0.0; ii 125.0, all in kJ/mol of atoms.